# 1
VASP calculation (PBE-GGA) on a geometry-optimized Li2GaF6 structure. Values from VASP.

```
&SYSTEM
  ibrav = 0, nat = 18, ntyp = 3
/
ATOMIC_SPECIES
Li 6.94 Li.upf
Ga 69.72 Ga.upf
F 19.00 F.upf
CELL_PARAMETERS angstrom
4.692 0.000 0.000
0.000 4.692 0.000
0.000 0.000 9.076
ATOMIC_POSITIONS angstrom
Li 0.000 0.000 1.489
Li 0.000 0.000 7.586
Li 2.346 2.346 3.048
Li 2.346 2.346 6.027
Ga 0.000 0.000 4.538
Ga 2.346 2.346 0.000
F 0.913 0.913 3.118
F 0.913 0.913 5.957
F 0.989 0.989 0.000
F 1.357 3.335 4.538
F 1.433 3.259 1.419
F 1.433 3.259 7.656
F 3.259 1.433 1.419
F 3.259 1.433 7.656
F 3.335 1.357 4.538
F 3.703 3.703 0.000
F 3.780 3.780 3.118
F 3.780 3.780 5.957
```

## Properties
Relative energy among the computed polymorphs ... 0.0 meV/atom
V ... 100 Å³/f.u.
Uncorrected formation energy ... -2442.3 meV/atom
VASP energy ... -4.451 eV/atom
Crystal system ... tetragonal

=====

# 2
VASP calculation (PBE-GGA) on a geometry-optimized Cu2SiMo structure. Values from VASP.

```
&SYSTEM
  ibrav = 0, nat = 4, ntyp = 3
/
ATOMIC_SPECIES
Cu 63.55 Cu.upf
Si 28.09 Si.upf
Mo 95.94 Mo.upf
CELL_PARAMETERS angstrom
1.717 -2.062 0.000
1.717 2.062 0.000
0.000 0.000 7.563
ATOMIC_POSITIONS angstrom
Cu 0.000 0.000 0.000
Cu 1.717 0.000 1.842
Si 1.717 0.000 5.791
Mo 0.000 0.000 3.865
```

## Properties
V ... 54 Å³/f.u.
Uncorrected formation energy ... 98.4 meV/atom
VASP energy ... -6.013 eV/atom
Crystal system ... orthorhombic

=====

What is the VASP energy in the first record?
-4.451 eV/atom

=====

What did the first record say?
VASP calculation (PBE-GGA) on a geometry-optimized Li2GaF6 structure. Values from VASP.

```
&SYSTEM
  ibrav = 0, nat = 18, ntyp = 3
/
ATOMIC_SPECIES
Li 6.94 Li.upf
Ga 69.72 Ga.upf
F 19.00 F.upf
CELL_PARAMETERS angstrom
4.692 0.000 0.000
0.000 4.692 0.000
0.000 0.000 9.076
ATOMIC_POSITIONS angstrom
Li 0.000 0.000 1.489
Li 0.000 0.000 7.586
Li 2.346 2.346 3.048
Li 2.346 2.346 6.027
Ga 0.000 0.000 4.538
Ga 2.346 2.346 0.000
F 0.913 0.913 3.118
F 0.913 0.913 5.957
F 0.989 0.989 0.000
F 1.357 3.335 4.538
F 1.433 3.259 1.419
F 1.433 3.259 7.656
F 3.259 1.433 1.419
F 3.259 1.433 7.656
F 3.335 1.357 4.538
F 3.703 3.703 0.000
F 3.780 3.780 3.118
F 3.780 3.780 5.957
```

## Properties
Relative energy among the computed polymorphs ... 0.0 meV/atom
V ... 100 Å³/f.u.
Uncorrected formation energy ... -2442.3 meV/atom
VASP energy ... -4.451 eV/atom
Crystal system ... tetragonal

=====

What is the V in the first record?
100 Å³/f.u.

=====

The highest uncorrected formation energy belongs to which entry?
Cu2SiMo